Here is an optimized crystal structure of Ti2GeSe from Alexandria. Energies are from PBE-GGA.

abc: 3.5960 3.5960 18.9638
angles: 90.00 90.00 120.00
Space group R3m (No. 160, hexagonal axes)
Unique sites:
Ti 0.0000 0.0000 0.0000 [3 per cell]
Ti 0.0000 0.0000 0.1788 [3 per cell]
Ge 0.0000 0.0000 0.5910 [3 per cell]
Se 0.0000 0.0000 0.4222 [3 per cell]

Values from the calculation:
The uncorrected energy is -6.7278 eV per atom. The calculation puts the density at 5.8 g/cm³. The formation energy (no corrections) is -0.755 eV per atom. The value obtained for the total magnetic moment is 0.0 μB per formula unit. The calculation puts the energy above the most stable polymorph in this dataset at 0.000 eV/atom.